GGA-PBE FeGeAs3, optimized geometry; volume = 116 Å³/f.u.; polymorph energy (0 for the lowest one) = 1126 meV/atom; formation enthalpy at 0 K = 1.172 eV/atom; total energy = -4.234 eV per atom; symmetry = No. 221; magnetization = 2.9 μB/f.u.
1.0
-3.212 -2.509 -2.682
2.770 -3.994 0.420
-2.412 -1.246 4.054
As Ge Fe
3 1 1
direct
0.000 0.500 0.000
0.000 0.000 0.500
0.500 0.000 0.000
0.000 0.000 0.000
0.500 0.500 0.500

GGA-PBE AcTiAl2, optimized geometry; volume = 99 Å³/f.u.; polymorph energy (0 for the lowest one) = 332 meV/atom; formation enthalpy at 0 K = 0.182 eV/atom; total energy = -4.691 eV per atom; symmetry = No. 166; magnetization = 0.0 μB/f.u.
1.0
-3.590 -0.127 0.245
-1.557 -1.421 2.920
-1.734 7.379 4.888
Ac Al Ti
1 2 1
direct
0.500 0.500 0.500
0.735 0.735 0.795
0.265 0.265 0.205
0.000 0.000 0.000

GGA-PBE BaNaTlCd, optimized geometry; volume = 134 Å³/f.u.; formation enthalpy at 0 K = -0.216 eV/atom; total energy = -1.847 eV per atom; symmetry = No. 216; magnetization = 0.0 μB/f.u.
1.0
5.740 0.000 0.000
2.870 4.971 0.000
2.870 1.657 4.687
Na Tl Ba Cd
1 1 1 1
direct
0.250 0.250 0.250
0.000 0.000 0.000
0.750 0.750 0.750
0.500 0.500 0.500

GGA-PBE Ho2ErTm5Th, optimized geometry; volume = 287 Å³/f.u.; formation enthalpy at 0 K = 0.169 eV/atom; total energy = -4.664 eV per atom; symmetry = No. 36; magnetization = 0.0 μB/f.u.
1.0
5.615 0.000 0.000
-2.808 10.634 0.000
0.000 0.000 9.600
Ho Er Tm Th
4 2 10 2
direct
0.886 0.772 0.827
0.131 0.262 0.710
0.114 0.228 0.327
0.869 0.738 0.210
0.808 0.617 0.518
0.192 0.383 0.018
0.396 0.793 0.040
0.731 0.462 0.828
0.470 0.940 0.741
0.306 0.611 0.719
0.986 0.971 0.519
0.604 0.207 0.540
0.269 0.538 0.328
0.530 0.060 0.241
0.694 0.389 0.219
0.014 0.029 0.019
0.596 0.191 0.923
0.404 0.809 0.423

Which value of total energy does entry 2 give? -4.691 eV per atom